Below is a geometry-optimized La2HgGeIr structure, with properties calculated at the PBE level.

Computed properties:
The value obtained for the size of the total moment is 0.0 μB per cell. As for the energy above the most stable polymorph in this dataset: 0.0 meV per atom. The formation energy from the elements comes out at -640 meV per atom.

a b c (Å): 7.565 4.593 8.308
angles (deg): 90.00 113.23 90.00
Space group P2_1/m (No. 11)
Symmetry-distinct sites (fractional):
La1 0.183 0.250 0.352
La2 0.276 0.250 0.939
Hg1 0.307 0.750 0.664
Ge1 0.440 0.750 0.285
Ir1 0.104 0.750 0.067


Below is a geometry-optimized Nd2ScCu structure, with properties calculated at the PBE level.

Computed properties:
The value obtained for the size of the total moment is 0.0 μB per cell. As for the energy above the most stable polymorph in this dataset: 330.2 meV per atom. The formation energy from the elements comes out at 310 meV per atom.

a b c (Å): 3.3980 3.3980 33.0307
angles (deg): 90.00 90.00 120.00
Space group R-3m (No. 166, hexagonal axes)
Symmetry-distinct sites (fractional):
Nd1 0.0000 0.0000 0.0984
Sc1 0.0000 0.0000 0.0000
Cu1 0.0000 0.0000 0.5000


Below is a geometry-optimized Ti6ReOs5 structure, with properties calculated at the PBE level.

Computed properties:
The value obtained for the size of the total moment is 0.0 μB per cell. The formation energy from the elements comes out at -672 meV per atom.

a b c (Å): 4.379 6.191 13.127
angles (deg): 90.00 90.00 90.00
Space group Immm (No. 71)
Symmetry-distinct sites (fractional):
Ti1 0.000 0.249 0.000
Ti2 0.000 0.251 0.334
Re1 0.000 0.500 0.500
Os1 0.000 0.000 0.167
Os2 0.000 0.000 0.500
Os3 0.000 0.500 0.167


Below is a geometry-optimized IrOsF structure, with properties calculated at the PBE level.

Computed properties:
The value obtained for the size of the total moment is 0.0 μB per cell. As for the energy above the most stable polymorph in this dataset: 315.8 meV per atom. The formation energy without anion corrections is -0.006 eV/atom.

a b c (Å): 10.095 2.719 3.383
angles (deg): 90.00 105.79 90.00
Space group Cm (No. 8)
Symmetry-distinct sites (fractional):
Ir1 0.000 0.000 0.000
Os1 0.132 0.500 0.613
F1 0.295 0.500 0.197


Below is a geometry-optimized ScPN2O structure, with properties calculated at the PBE level.

Computed properties:
The value obtained for the size of the total moment is 2.0 μB per cell. The formation energy without anion corrections is 0.703 eV/atom.

a b c (Å): 4.257 4.257 3.940
angles (deg): 90.00 90.00 90.00
Space group P4/mmm (No. 123)
Symmetry-distinct sites (fractional):
Sc1 0.000 0.000 0.000
P1 0.500 0.500 0.500
N1 0.000 0.500 0.000
O1 0.000 0.000 0.500


Below is a geometry-optimized Mg2ZnPb structure, with properties calculated at the PBE level.

Computed properties:
The value obtained for the size of the total moment is 0.0 μB per cell. The formation energy from the elements comes out at 30 meV per atom.

a b c (Å): 5.127 3.362 5.658
angles (deg): 90.00 110.95 90.00
Space group P2/m (No. 10)
Symmetry-distinct sites (fractional):
Mg1 0.000 0.000 0.000
Mg2 0.000 0.500 0.500
Zn1 0.500 0.000 0.500
Pb1 0.500 0.500 0.000


Below is a geometry-optimized CaPuPdPb structure, with properties calculated at the PBE level.

Computed properties:
The value obtained for the size of the total moment is 21.6 μB per cell. The formation energy from the elements comes out at -312 meV per atom.

a b c (Å): 7.450 7.450 7.450
angles (deg): 90.00 90.00 90.00
Space group F-43m (No. 216)
Symmetry-distinct sites (fractional):
Ca1 0.000 0.000 0.000
Pu1 0.000 0.000 0.500
Pd1 0.250 0.250 0.250
Pb1 0.250 0.250 0.750


Below is a geometry-optimized FeSn2Ir structure, with properties calculated at the PBE level.

Computed properties:
The value obtained for the size of the total moment is 8.7 μB per cell. The formation energy from the elements comes out at 434 meV per atom.

a b c (Å): 3.1655 3.1655 28.0504
angles (deg): 90.00 90.00 120.00
Space group R-3m (No. 166, hexagonal axes)
Symmetry-distinct sites (fractional):
Fe1 0.0000 0.0000 0.0000
Sn1 0.0000 0.0000 0.0930
Ir1 0.0000 0.0000 0.5000


Below is a geometry-optimized Dy5Sb2Te structure, with properties calculated at the PBE level.

Computed properties:
The value obtained for the size of the total moment is 0.0 μB per cell. The formation energy without anion corrections is -0.639 eV/atom.

a b c (Å): 6.064 12.639 13.576
angles (deg): 90.00 90.00 90.00
Space group Cmcm (No. 63)
Symmetry-distinct sites (fractional):
Dy1 0.000 0.053 0.112
Dy2 0.000 0.343 0.750
Dy3 0.000 0.376 0.061
Sb1 0.000 0.184 0.579
Te1 0.000 0.242 0.250


Below is a geometry-optimized Sm6DyTl5 structure, with properties calculated at the PBE level.

Computed properties:
The value obtained for the size of the total moment is 0.0 μB per cell. As for the energy above the most stable polymorph in this dataset: 104.7 meV per atom. The formation energy from the elements comes out at -190 meV per atom.

a b c (Å): 10.471 11.536 6.328
angles (deg): 90.00 103.22 90.00
Space group C2/m (No. 12)
Symmetry-distinct sites (fractional):
Sm1 0.220 0.000 0.218
Sm2 0.225 0.181 0.733
Dy1 0.000 0.500 0.000
Tl1 0.000 0.000 0.500
Tl2 0.000 0.206 0.000
Tl3 0.000 0.365 0.500


Below is a geometry-optimized Li7Tl3Cd structure, with properties calculated at the PBE level.

Computed properties:
The value obtained for the size of the total moment is 0.0 μB per cell. The formation energy from the elements comes out at -167 meV per atom.

a b c (Å): 3.279 24.725 11.037
angles (deg): 90.00 90.00 90.00
Space group Cmcm (No. 63)
Symmetry-distinct sites (fractional):
Li1 0.000 0.045 0.118
Li2 0.000 0.095 0.600
Li3 0.000 0.216 0.250
Li4 0.000 0.220 0.577
Tl1 0.000 0.336 0.250
Tl2 0.000 0.352 0.591
Cd1 0.000 0.470 0.250


Below is a geometry-optimized LiTmTlPd structure, with properties calculated at the PBE level.

Computed properties:
The value obtained for the size of the total moment is 0.0 μB per cell. The formation energy from the elements comes out at -497 meV per atom.

a b c (Å): 6.783 6.783 6.783
angles (deg): 90.00 90.00 90.00
Space group F-43m (No. 216)
Symmetry-distinct sites (fractional):
Li1 0.000 0.000 0.000
Tm1 0.250 0.250 0.750
Tl1 0.250 0.250 0.250
Pd1 0.000 0.000 0.500


Below is a geometry-optimized ScSiPt structure, with properties calculated at the PBE level.

Computed properties:
The value obtained for the size of the total moment is 0.0 μB per cell. The formation energy without anion corrections is -1.199 eV/atom.

a b c (Å): 6.611 4.165 7.301
angles (deg): 90.00 90.00 90.00
Space group Pnma (No. 62)
Symmetry-distinct sites (fractional):
Sc1 0.002 0.250 0.201
Si1 0.192 0.250 0.592
Pt1 0.201 0.750 0.416


Below is a geometry-optimized TmZrZnFe structure, with properties calculated at the PBE level.

Computed properties:
The value obtained for the size of the total moment is 0.9 μB per cell. The formation energy from the elements comes out at -123 meV per atom.

a b c (Å): 6.657 6.657 6.657
angles (deg): 90.00 90.00 90.00
Space group F-43m (No. 216)
Symmetry-distinct sites (fractional):
Tm1 0.000 0.000 0.000
Zr1 0.000 0.000 0.500
Zn1 0.250 0.250 0.750
Fe1 0.250 0.250 0.250


Below is a geometry-optimized Sn2IrSe structure, with properties calculated at the PBE level.

Computed properties:
The value obtained for the size of the total moment is 0.0 μB per cell. The formation energy without anion corrections is 0.039 eV/atom.

a b c (Å): 6.271 6.271 12.145
angles (deg): 90.00 90.00 90.00
Space group I-42d (No. 122)
Symmetry-distinct sites (fractional):
Sn1 0.211 0.250 0.125
Ir1 0.000 0.000 0.000
Se1 0.000 0.000 0.500


Below is a geometry-optimized LiSiMo2 structure, with properties calculated at the PBE level.

Computed properties:
The value obtained for the size of the total moment is 0.0 μB per cell. The formation energy without anion corrections is 0.137 eV/atom.

a b c (Å): 3.283 3.283 5.432
angles (deg): 90.00 90.00 90.00
Space group P4/mmm (No. 123)
Symmetry-distinct sites (fractional):
Li1 0.000 0.000 0.000
Si1 0.000 0.000 0.500
Mo1 0.500 0.500 0.280


Below is a geometry-optimized In2OsW structure, with properties calculated at the PBE level.

Computed properties:
The value obtained for the size of the total moment is 0.0 μB per cell. As for the energy above the most stable polymorph in this dataset: 488.5 meV per atom. The formation energy from the elements comes out at 694 meV per atom.

a b c (Å): 3.017 5.021 9.561
angles (deg): 90.00 90.00 90.00
Space group Immm (No. 71)
Symmetry-distinct sites (fractional):
In1 0.000 0.000 0.240
Os1 0.000 0.500 0.500
W1 0.000 0.500 0.000


Below is a geometry-optimized ZnCdAg3 structure, with properties calculated at the PBE level.

Computed properties:
The value obtained for the size of the total moment is 0.0 μB per cell. As for the energy above the most stable polymorph in this dataset: 442.3 meV per atom. The formation energy from the elements comes out at 425 meV per atom.

a b c (Å): 4.856 4.856 4.856
angles (deg): 90.00 90.00 90.00
Space group Pm-3m (No. 221)
Symmetry-distinct sites (fractional):
Zn1 0.000 0.000 0.000
Cd1 0.500 0.500 0.500
Ag1 0.000 0.000 0.500


Below is a geometry-optimized La5TbCeNd2 structure, with properties calculated at the PBE level.

Computed properties:
The value obtained for the size of the total moment is 2.6 μB per cell. The formation energy from the elements comes out at 262 meV per atom.

a b c (Å): 8.267 8.267 9.461
angles (deg): 90.00 90.00 90.00
Space group P4/mbm (No. 127)
Symmetry-distinct sites (fractional):
La1 0.000 0.000 0.000
La2 0.195 0.305 0.279
Tb1 0.000 0.000 0.500
Ce1 0.000 0.500 0.500
Nd1 0.130 0.630 0.000


Below is a geometry-optimized BaPm2Sm structure, with properties calculated at the PBE level.

Computed properties:
The value obtained for the size of the total moment is 0.0 μB per cell. As for the energy above the most stable polymorph in this dataset: 79.6 meV per atom. The formation energy from the elements comes out at 197 meV per atom.

a b c (Å): 3.6891 3.6891 39.4055
angles (deg): 90.00 90.00 120.00
Space group R-3m (No. 166, hexagonal axes)
Symmetry-distinct sites (fractional):
Ba1 0.0000 0.0000 0.0000
Pm1 0.0000 0.0000 0.0932
Sm1 0.0000 0.0000 0.5000


Computed values of Fermi-level density of states (unit: states/eV/f.u.) for the preceding records, in sequence: 3.38; 6.13; 3.12; 0.55; 1.68; 2.00; 13.14; 4.51; 6.77; 12.46; 2.37; 4.08; 1.56; 2.55; 2.55; 3.73; 2.87; 2.16; 16.50; 5.96.